No. 1
## Er3Mg2Pd2 (PBE)

Data for Er3Mg2Pd2 after structural relaxation.

Output
Its total energy is -4.403 eV per atom. Its density of states at the Fermi level is 0.756 states/eV/atom. As for the offset from the most stable computed form: 0.014 eV/atom. The value obtained for the formation energy from the elements is -3.6 eV per formula unit. Its mass density is 7.6 Mg/m³.

Cell lengths 12.3645, 3.5378, 8.4654 Å; angles 90.00, 115.56, 90.00 degrees
Last column: nearest neighbours and their distance in Å.
Space group C2/m (No. 12)
Inequivalent atoms, fractional coordinates:
1 Er 0.0000 0.0000 0.0000 [2 per cell]  4 Pd 2.85
2 Er 0.1142 0.0000 0.4438 [4 per cell]  3 Pd 2.83-2.89
3 Mg 0.1618 0.5000 0.8261 [4 per cell]  2 Pd 2.82
4 Pd 0.1804 0.5000 0.2301 [4 per cell]  2 Mg 2.82, 5 Er 2.83-2.89



No. 2
## Er2MgPd (PBE)

Data for Er2MgPd after structural relaxation.

Output
Its total energy is -4.474 eV per atom. Its density of states at the Fermi level is 0.855 states/eV/atom. The value obtained for the formation energy from the elements is -2.0 eV per formula unit. Its mass density is 8.1 Mg/m³.

Cell lengths 3.5940, 3.5940, 7.3433 Å; angles 90.00, 90.00, 90.00 degrees
Last column: nearest neighbours and their distance in Å.
Space group P4/mmm (No. 123)
Inequivalent atoms, fractional coordinates:
1 Er 0.0000 0.0000 0.2221 [2 per cell]  4 Pd 3.02, 4 Mg 3.26, 1 Er 3.26
2 Mg 0.5000 0.5000 0.5000 [1 per cell]  8 Er 3.26, 4 Mg 3.59
3 Pd 0.5000 0.5000 0.0000 [1 per cell]  8 Er 3.02



No. 3
## PmEr2MgPd4 (PBE)

Data for PmEr2MgPd4 after structural relaxation.

Output
Its total energy is -5.351 eV per atom. Its density of states at the Fermi level is 0.647 states/eV/atom. The value obtained for the formation energy from the elements is -6.6 eV per formula unit. Its mass density is 9.4 Mg/m³.

Cell lengths 4.8583, 4.8583, 24.1554 Å; angles 90.00, 90.00, 120.00 degrees
Last column: nearest neighbours and their distance in Å.
Space group R-3m (No. 166, hexagonal axes)
Inequivalent atoms, fractional coordinates:
1 Pm 0.0000 0.0000 0.0000 [3 per cell]  8 Pd 3.03-3.04
2 Er 0.0000 0.0000 0.2440 [6 per cell]  7 Pd 2.86-2.97
3 Mg 0.0000 0.0000 0.5000 [3 per cell]  8 Pd 2.85-2.98
4 Pd 0.0000 0.0000 0.1255 [6 per cell]  4 Er 2.86-2.94, 3 Mg 2.98, 1 Pm 3.03
5 Pd 0.0000 0.0000 0.3820 [6 per cell]  1 Mg 2.85, 3 Er 2.97, 3 Pm 3.04



No. 4
## PrEr2MgPd4 (PBE)

Data for PrEr2MgPd4 after structural relaxation.

Output
Its total energy is -5.336 eV per atom. Its density of states at the Fermi level is 0.634 states/eV/atom. The value obtained for the formation energy from the elements is -6.4 eV per formula unit. Its mass density is 9.2 Mg/m³.

Cell lengths 4.8224, 4.8224, 24.9656 Å; angles 90.00, 90.00, 120.00 degrees
Last column: nearest neighbours and their distance in Å.
Space group R-3m (No. 166, hexagonal axes)
Inequivalent atoms, fractional coordinates:
1 Pr 0.0000 0.0000 0.0000 [3 per cell]  8 Pd 3.11-3.17
2 Er 0.0000 0.0000 0.2420 [6 per cell]  7 Pd 2.87-2.92
3 Mg 0.0000 0.0000 0.5000 [3 per cell]  8 Pd 2.77-2.96
4 Pd 0.0000 0.0000 0.1270 [6 per cell]  4 Er 2.87-2.92, 3 Mg 2.96, 1 Pr 3.17
5 Pd 0.0000 0.0000 0.3890 [6 per cell]  1 Mg 2.77, 3 Er 2.92



Among the records above, which one has the lowest total energy?
PmEr2MgPd4



Number 2 is which compound?
Er2MgPd



Among the records above, which one has the highest density of states at the Fermi level?
Er2MgPd